[1]
Compound: NdHoCO
Source: the Alexandria database
Functional: PBE
Structure: relaxed

a = 3.1928 Å, b = 3.3575 Å, c = 6.5067 Å
α = 104.95°, β = 104.20°, γ = 90.00°
Closest atoms and distances in Å follow each position.
Atoms (fractional coordinates):
Nd 0.8230 0.3230 0.6460  2 C 2.57, 4 O 2.59
Ho 0.0741 0.0741 0.1481  2 O 2.47, 4 C 2.56
C 0.6630 0.6630 0.3259  4 Ho 2.56, 2 Nd 2.57
O 0.4191 0.9191 0.8382  2 Ho 2.47, 4 Nd 2.59

Properties
**Symmetry**: Imm2, No. 44
**Calculated total energy**: -0.517 Ry/atom
**D(E_F)**: 0.34 states/eV/atom
**Formation energy without anion corrections**: -1149 meV/atom



[2]
Compound: Pr2Dy3Ho6
Source: the Alexandria database
Functional: PBE
Structure: relaxed

a = 4.7329 Å, b = 4.7329 Å, c = 16.9740 Å
α = 98.01°, β = 98.01°, γ = 90.00°
Closest atoms and distances in Å follow each position.
Atoms (fractional coordinates):
Pr 0.4535 0.4535 0.9070  1 Pr 3.09
Pr 0.5465 0.5465 0.0930  1 Pr 3.09
Dy 0.0000 0.0000 0.0000  8 Pr 3.69
Dy 0.7983 0.7983 0.5966  9 Ho 3.35-3.54
Dy 0.2017 0.2017 0.4034  9 Ho 3.35-3.54
Ho 0.1228 0.6228 0.2456  6 Ho 3.35-3.39, 2 Pr 3.47, 2 Dy 3.54
Ho 0.6228 0.1228 0.2456  6 Ho 3.35-3.39, 2 Pr 3.47, 2 Dy 3.54
Ho 0.8772 0.3772 0.7544  6 Ho 3.35-3.39, 2 Pr 3.47, 2 Dy 3.54
Ho 0.3772 0.8772 0.7544  6 Ho 3.35-3.39, 2 Pr 3.47, 2 Dy 3.54
Ho 0.6957 0.6957 0.3914  5 Dy 3.35-3.41, 4 Ho 3.39
Ho 0.3043 0.3043 0.6086  5 Dy 3.35-3.41, 4 Ho 3.39

Properties
**Symmetry**: I4/mmm, No. 139
**Calculated total energy**: -0.320 Ry/atom
**D(E_F)**: 1.51 states/eV/atom
**Excess energy over the best structure of this formula in the dataset**: 87 meV/atom
**Energy of formation**: 268 meV/atom



[3]
Compound: RbSrNb
Source: the Alexandria database
Functional: PBE
Structure: relaxed

a = 6.0938 Å, b = 9.5657 Å, c = 6.1081 Å
α = 71.49°, β = 119.82°, γ = 108.54°
Closest atoms and distances in Å follow each position.
Atoms (fractional coordinates):
Sr 0.6388 0.9172 0.8601  5 Nb 3.54-3.96, 3 Sr 3.82
Sr 0.3612 0.0828 0.1399  5 Nb 3.54-3.96, 3 Sr 3.82
Nb 0.9593 0.8793 0.5387  1 Nb 2.15
Nb 0.0407 0.1207 0.4613  1 Nb 2.15
Rb 0.7976 0.3919 0.7043  3 Rb 4.01-4.02, 4 Sr 4.22-4.48, 4 Nb 4.27-4.34
Rb 0.2024 0.6081 0.2957  3 Rb 4.01-4.02, 4 Sr 4.22-4.48, 4 Nb 4.27-4.34

Properties
**Symmetry**: P-1, No. 2
**Calculated total energy**: -0.256 Ry/atom
**D(E_F)**: 0.86 states/eV/atom
**Excess energy over the best structure of this formula in the dataset**: 347 meV/atom
**Energy of formation**: 750 meV/atom



[4]
Compound: Pm3Pr8Pu
Source: the Alexandria database
Functional: PBE
Structure: relaxed

a = 8.5739 Å, b = 8.5739 Å, c = 8.5739 Å
α = 93.92°, β = 117.77°, γ = 117.77°
Closest atoms and distances in Å follow each position.
Atoms (fractional coordinates):
Pm 0.5000 0.7500 0.2500  4 Pr 3.51
Pm 0.5000 0.2500 0.7500  4 Pr 3.51
Pm 0.0000 0.5000 0.5000  8 Pr 3.32-3.44
Pr 0.4721 0.2144 0.2144  1 Pu 2.97, 1 Pm 3.32, 1 Pr 3.32
Pr 0.5279 0.7422 0.7422  1 Pu 2.97, 1 Pm 3.32, 1 Pr 3.32
Pr 0.0000 0.7856 0.2578  1 Pu 2.97, 1 Pm 3.32, 1 Pr 3.32
Pr 0.0000 0.2578 0.7856  1 Pu 2.97, 1 Pm 3.32, 1 Pr 3.32
Pr 0.2482 0.3615 0.3615  3 Pr 3.11-3.34, 1 Pu 3.18, 1 Pm 3.44
Pr 0.7518 0.1133 0.1133  3 Pr 3.11-3.34, 1 Pu 3.18, 1 Pm 3.44
Pr 0.0000 0.6385 0.8867  3 Pr 3.11-3.34, 1 Pu 3.18, 1 Pm 3.44
Pr 0.0000 0.8867 0.6385  3 Pr 3.11-3.34, 1 Pu 3.18, 1 Pm 3.44
Pu 0.0000 0.0000 0.0000  8 Pr 2.97-3.18

Properties
**Symmetry**: I-42m, No. 121
**Calculated total energy**: -0.372 Ry/atom
**D(E_F)**: 1.60 states/eV/atom
**Energy of formation**: 505 meV/atom